# 1
Material: BaHgPO2
Method: DFT, PBE
State: relaxed

Properties
uncorrected formation energy = 0.13 eV per atom
D(E_F) = 2.82 states/eV/f.u.
polymorph energy (0 for the lowest one) = 436 meV per atom
raw total energy = -3.381 eV per atom

a b c (Å): 4.436 4.436 7.171
angles (deg): 90.00 90.00 90.00
Space group P4/mmm (No. 123)
One atom of each set of equivalent atoms:
Ba: 0.000 0.000 0.000
Hg: 0.500 0.500 0.500
P: 0.000 0.000 0.500
O: 0.000 0.500 0.000



# 2
Material: BaPaHgO4
Method: DFT, PBE
State: relaxed

Properties
uncorrected formation energy = -2.49 eV per atom
D(E_F) = 1.70 states/eV/f.u.
raw total energy = -6.996 eV per atom

a b c (Å): 6.091 7.146 12.439
angles (deg): 90.00 90.00 90.00
Space group Imma (No. 74)
One atom of each set of equivalent atoms:
Ba: 0.000 0.250 0.157
Pa: 0.000 0.000 0.500
Hg: 0.250 0.250 0.750
O: 0.000 0.029 0.330
O: 0.222 0.250 0.506



# 3
Material: BaPa2HgO8
Method: DFT, PBE
State: relaxed

Properties
uncorrected formation energy = -2.45 eV per atom
D(E_F) = 0.11 states/eV/f.u.
raw total energy = -7.524 eV per atom

a b c (Å): 5.469 7.119 5.480
angles (deg): 90.00 96.07 90.00
Space group P2/m (No. 10)
One atom of each set of equivalent atoms:
Ba: 0.000 0.000 0.000
Pa: 0.500 0.258 0.500
Hg: 0.000 0.500 0.000
O: 0.200 0.297 0.203
O: 0.342 0.500 0.659
O: 0.344 0.000 0.658



# 4
Material: Ba6HgPb2O
Method: DFT, PBE
State: relaxed

Properties
uncorrected formation energy = -0.69 eV per atom
D(E_F) = 7.02 states/eV/f.u.
raw total energy = -3.107 eV per atom

a b c (Å): 8.229 11.857 8.954
angles (deg): 90.00 90.00 90.00
Space group Pmmn (No. 59, origin choice 2)
One atom of each set of equivalent atoms:
Ba: 0.006 0.250 0.089
Ba: 0.023 0.750 0.474
Ba: 0.250 0.519 0.709
Hg: 0.250 0.250 0.797
Pb: 0.250 0.027 0.300
O: 0.250 0.750 0.720



# 5
Material: BaHgPbO3
Method: DFT, PBE
State: relaxed

Properties
uncorrected formation energy = -1.28 eV per atom
raw total energy = -4.745 eV per atom

a b c (Å): 7.849 3.669 8.549
angles (deg): 90.00 91.54 90.00
Space group P2_1/m (No. 11)
One atom of each set of equivalent atoms:
Ba: 0.145 0.250 0.182
Hg: 0.160 0.250 0.591
Pb: 0.384 0.750 0.845
O: 0.140 0.250 0.857
O: 0.162 0.750 0.430
O: 0.389 0.750 0.103



# 6
Material: Ba2Hg2PbO6
Method: DFT, PBE
State: relaxed

Properties
uncorrected formation energy = -1.21 eV per atom
D(E_F) = 6.41 states/eV/f.u.
raw total energy = -4.656 eV per atom

a b c (Å): 6.5217 6.5217 17.4309
angles (deg): 90.00 90.00 120.00
Space group R-3m (No. 166, hexagonal axes)
One atom of each set of equivalent atoms:
Ba: 0.0000 0.0000 0.2085
Hg: 0.0000 0.0000 0.4105
Pb: 0.0000 0.0000 0.0000
O: 0.0470 0.5235 0.7539



# 7
Material: Ba2HgPdO4
Method: DFT, PBE
State: relaxed

Properties
uncorrected formation energy = -1.39 eV per atom
raw total energy = -5.038 eV per atom

a b c (Å): 6.438 6.438 6.947
angles (deg): 90.00 90.00 90.00
Space group I-4 (No. 82)
One atom of each set of equivalent atoms:
Ba: 0.000 0.000 0.000
Ba: 0.000 0.500 0.250
Hg: 0.000 0.500 0.750
Pd: 0.000 0.000 0.500
O: 0.172 0.733 0.533



# 8
Material: Ba2Hg2PdO6
Method: DFT, PBE
State: relaxed

Properties
uncorrected formation energy = -1.03 eV per atom
raw total energy = -4.615 eV per atom

a b c (Å): 6.3536 6.3536 16.8695
angles (deg): 90.00 90.00 120.00
Space group R-3m (No. 166, hexagonal axes)
One atom of each set of equivalent atoms:
Ba: 0.0000 0.0000 0.2083
Hg: 0.0000 0.0000 0.4011
Pd: 0.0000 0.0000 0.0000
O: 0.0558 0.5279 0.7488